# DyMgCuTeSe2

An optimized crystal structure of DyMgCuTeSe2 (GGA-PBE, OQMD).

Cell: 6.9511 6.9511 10.9422 Å, 90.00 90.00 147.31°
Positions (direct):
Mg  0.2002  0.7998  0.7500
Mg  0.7998  0.2002  0.2500
Cu  0.4773  0.5227  0.2500
Cu  0.5227  0.4773  0.7500
Se  0.3579  0.6421  0.4211
Se  0.6421  0.3579  0.9211
Se  0.6421  0.3579  0.5789
Se  0.3579  0.6421  0.0789
Te  0.8888  0.1112  0.7500
Te  0.1112  0.8888  0.2500
Dy  0.0000  0.0000  0.5000
Dy  0.0000  0.0000  0.0000

As for the symmetry: Cmcm, No. 63. Its uncorrected energy is -4.37 eV per atom.